(1)
TaOs2SF: relaxed, PBE.

a b c (Å): 4.0186 4.0186 4.7233
angles (deg): 90.00 90.00 90.00
Atoms (fractional coordinates):
1 Ta 0.0000 0.0000 0.0000
2 Os 0.0000 0.5000 0.5000
3 Os 0.5000 0.0000 0.5000
4 S 0.5000 0.5000 0.0000
5 F 0.5000 0.5000 0.5000

Total energy, eV/f.u.: -34.4
Raw formation energy, eV/atom: 1.1767
Mass density, g/cm3: 13.334
DOS at the Fermi energy, states/eV/f.u.: 5.15
Size of the total moment, μB/cell: 0.00

=====

(2)
Sn2Ge2Au: relaxed, PBE.

a b c (Å): 6.8357 6.8357 4.9480
angles (deg): 90.00 90.00 90.00
Atoms (fractional coordinates):
1 Sn 0.1907 0.3093 0.0000
2 Sn 0.3093 0.8093 0.0000
3 Sn 0.6907 0.1907 0.0000
4 Sn 0.8093 0.6907 0.0000
5 Ge 0.1347 0.6347 0.5000
6 Ge 0.3653 0.1347 0.5000
7 Ge 0.6347 0.8653 0.5000
8 Ge 0.8653 0.3653 0.5000
9 Au 0.0000 0.0000 0.5000
10 Au 0.5000 0.5000 0.5000

Total energy, eV/f.u.: -20.0
Mass density, g/cm3: 8.327
DOS at the Fermi energy, states/eV/f.u.: 1.71
Energy of formation from the pure elements, meV/atom: 111
Size of the total moment, μB/cell: 0.00
Offset from the most stable computed form, meV/atom: 0

=====

(3)
La2Zn2HgPt5: relaxed, PBE.

a b c (Å): 9.9365 9.9365 3.8825
angles (deg): 90.00 90.00 90.00
Atoms (fractional coordinates):
1 La 0.1794 0.3206 0.0000
2 La 0.3206 0.8206 0.0000
3 La 0.6794 0.1794 0.0000
4 La 0.8206 0.6794 0.0000
5 Zn 0.1179 0.6179 0.0000
6 Zn 0.3821 0.1179 0.0000
7 Zn 0.6179 0.8821 0.0000
8 Zn 0.8821 0.3821 0.0000
9 Hg 0.0000 0.0000 0.0000
10 Hg 0.5000 0.5000 0.0000
11 Pt 0.0000 0.5000 0.5000
12 Pt 0.0636 0.7888 0.5000
13 Pt 0.2112 0.0636 0.5000
14 Pt 0.2888 0.5636 0.5000
15 Pt 0.4364 0.2888 0.5000
16 Pt 0.5000 0.0000 0.5000
17 Pt 0.5636 0.7112 0.5000
18 Pt 0.7112 0.4364 0.5000
19 Pt 0.7888 0.9364 0.5000
20 Pt 0.9364 0.2112 0.5000

Total energy, eV/f.u.: -50.0
Mass density, g/cm3: 13.729
DOS at the Fermi energy, states/eV/f.u.: 3.81
Energy of formation from the pure elements, meV/atom: -710
Size of the total moment, μB/cell: 0.00

=====

- Look up the mass density of the third one.
  13.729 g/cm3

=====

- Number 1 is which compound?
  TaOs2SF